# 1
{
  "formula": "BaY3Pt",
  "functional": "GGA-PBEsol",
  "state": "optimized geometry",
  "e_form_ev_per_atom": -0.388,
  "sg": "Pm-3m, No. 221",
  "lattice": [[5.527, 0.000, 0.000], [0.000, 5.527, 0.000], [0.000, 0.000, 5.527]],
  "species": ["Ba", "Y", "Y", "Y", "Pt"],
  "frac_coords": [[0.000, 0.000, 0.000], [0.000, 0.500, 0.500], [0.500, 0.000, 0.500], [0.500, 0.500, 0.000], [0.500, 0.500, 0.500]]
}


# 2
{
  "formula": "BaZn2Pt",
  "functional": "GGA-PBEsol",
  "state": "optimized geometry",
  "e_form_ev_per_atom": 0.130,
  "sg": "Fmmm, No. 69",
  "lattice": [[5.787, 0.000, 0.000], [0.000, 7.780, 0.000], [0.000, 0.000, 8.094]],
  "species": ["Ba", "Ba", "Ba", "Ba", "Zn", "Zn", "Zn", "Zn", "Zn", "Zn", "Zn", "Zn", "Pt", "Pt", "Pt", "Pt"],
  "frac_coords": [[0.000, 0.000, 0.000], [0.000, 0.500, 0.500], [0.500, 0.000, 0.500], [0.500, 0.500, 0.000], [0.000, 0.250, 0.250], [0.000, 0.250, 0.750], [0.000, 0.750, 0.250], [0.000, 0.750, 0.750], [0.500, 0.250, 0.250], [0.500, 0.250, 0.750], [0.500, 0.750, 0.250], [0.500, 0.750, 0.750], [0.000, 0.000, 0.500], [0.000, 0.500, 0.000], [0.500, 0.000, 0.000], [0.500, 0.500, 0.500]]
}


# 3
{
  "formula": "BaZn2Pt",
  "functional": "GGA-PBEsol",
  "state": "optimized geometry",
  "e_form_ev_per_atom": -0.479,
  "sg": "R-3m, No. 166",
  "lattice": [[4.364, 0.000, 0.000], [-2.182, 3.780, 0.000], [0.000, 0.000, 16.833]],
  "species": ["Ba", "Ba", "Ba", "Zn", "Zn", "Zn", "Zn", "Zn", "Zn", "Pt", "Pt", "Pt"],
  "frac_coords": [[0.000, 0.000, 0.000], [0.333, 0.667, 0.667], [0.667, 0.333, 0.333], [0.000, 0.000, 0.195], [0.000, 0.000, 0.805], [0.333, 0.667, 0.471], [0.333, 0.667, 0.862], [0.667, 0.333, 0.138], [0.667, 0.333, 0.529], [0.000, 0.000, 0.500], [0.333, 0.667, 0.167], [0.667, 0.333, 0.833]]
}


# 4
{
  "formula": "BaZn2Pt",
  "functional": "GGA-PBEsol",
  "state": "optimized geometry",
  "e_form_ev_per_atom": -0.487,
  "sg": "R3m, No. 160",
  "lattice": [[4.410, 0.000, 0.000], [-2.205, 3.819, 0.000], [0.000, 0.000, 16.822]],
  "species": ["Ba", "Ba", "Ba", "Zn", "Zn", "Zn", "Zn", "Zn", "Zn", "Pt", "Pt", "Pt"],
  "frac_coords": [[0.000, 0.000, 0.000], [0.333, 0.667, 0.667], [0.667, 0.333, 0.333], [0.000, 0.000, 0.187], [0.000, 0.000, 0.482], [0.333, 0.667, 0.149], [0.333, 0.667, 0.854], [0.667, 0.333, 0.521], [0.667, 0.333, 0.816], [0.000, 0.000, 0.810], [0.333, 0.667, 0.476], [0.667, 0.333, 0.143]]
}


Number 1: calculated volume 168.9 Å³/cell. Number 2: calculated volume 364.4 Å³/cell. Number 3: calculated volume 277.7 Å³/cell. Number 4: calculated volume 283.3 Å³/cell.